Here is a geometry-optimized KTa3Te structure from the Alexandria database. Energies are from PBE.

Properties
- Spin magnetization: 0.00 μB/cell
- ΔE_f (raw): 1.89 eV per atom
- SG: Pm-3m (221)
- Mass density: 8.5 g/cm3
- Relative energy among the computed polymorphs: 0.0 meV/atom

Cell: 5.172 5.172 5.172 Å, 90.00 90.00 90.00°
Fractional positions:
K  0.500  0.500  0.500
Te  0.000  0.000  0.000
Ta  0.000  0.500  0.000
Ta  0.000  0.000  0.500
Ta  0.500  0.000  0.000